Entry 1:
SiC2 | GGA-PBE | relaxed

extended XYZ file:
```
3
Lattice="2.395 -2.628 0.000 2.395 2.628 0.000 -0.619 0.000 2.402" Properties=species:S:1:pos:R:3 pbc="T T T"
Si 0.000 0.000 0.000
C 1.915 0.000 0.513
C 2.257 0.000 1.889
```

Summary:
The value obtained for the energy relative to the lowest polymorph listed for this composition is 460 meV per atom. For the total energy, the calculation gives -0.5266 Ry/atom. The value obtained for the energy relative to the elements, uncorrected is 792 meV/atom.

---

Entry 2:
SiC | GGA-PBE | relaxed

extended XYZ file:
```
8
Lattice="-2.968 2.968 2.968 2.968 -2.968 2.968 2.968 2.968 -2.968" Properties=species:S:1:pos:R:3 pbc="T T T"
Si 0.938 0.938 -0.938
Si 0.938 -0.938 0.938
Si -0.938 0.938 0.938
Si 2.029 2.029 2.029
C 1.982 1.982 -1.982
C 1.982 -1.982 1.982
C 0.985 0.985 0.985
C -1.982 1.982 1.982
```

Summary:
The value obtained for the energy relative to the lowest polymorph listed for this composition is 341 meV per atom. For the total energy, the calculation gives -0.5284 Ry/atom. The value obtained for the energy relative to the elements, uncorrected is 134 meV/atom.

---

Entry 3:
Si2C | GGA-PBE | relaxed

extended XYZ file:
```
6
Lattice="2.075 -6.549 0.000 2.075 6.549 0.000 0.000 0.000 2.901" Properties=species:S:1:pos:R:3 pbc="T T T"
Si 0.000 0.000 0.000
Si 2.075 3.888 0.000
Si 2.075 0.000 1.451
Si 2.075 -3.888 0.000
C 2.075 5.136 1.451
C 2.075 -5.136 1.451
```

Summary:
The value obtained for the energy relative to the lowest polymorph listed for this composition is 394 meV per atom. For the total energy, the calculation gives -0.4372 Ry/atom. The value obtained for the energy relative to the elements, uncorrected is 741 meV/atom.

---

Entry 4:
SiC | GGA-PBE | relaxed

extended XYZ file:
```
2
Lattice="2.485 0.000 0.000 -1.243 2.152 0.000 0.000 0.000 3.873" Properties=species:S:1:pos:R:3 pbc="T T T"
Si 0.000 0.000 0.000
C 0.000 0.000 1.937
```

Summary:
The value obtained for the energy relative to the lowest polymorph listed for this composition is 1905 meV per atom. For the total energy, the calculation gives -0.4134 Ry/atom. The value obtained for the energy relative to the elements, uncorrected is 1699 meV/atom.

---

Entry 5:
SiC | GGA-PBE | relaxed

extended XYZ file:
```
4
Lattice="1.548 0.894 8.957 -1.548 0.894 8.957 0.000 -1.788 8.957" Properties=species:S:1:pos:R:3 pbc="T T T"
Si 0.000 0.000 2.020
Si 0.000 0.000 24.852
C 0.000 0.000 10.983
C 0.000 0.000 15.889
```

Summary:
The value obtained for the energy relative to the lowest polymorph listed for this composition is 503 meV per atom. For the total energy, the calculation gives -0.5165 Ry/atom. The value obtained for the energy relative to the elements, uncorrected is 296 meV/atom.

---

Entry 6:
Si2C | GGA-PBE | relaxed

extended XYZ file:
```
6
Lattice="2.946 0.000 0.000 -1.473 2.552 0.000 0.000 0.000 8.621" Properties=species:S:1:pos:R:3 pbc="T T T"
Si 0.000 1.701 0.948
Si 0.000 1.701 3.362
Si 1.473 0.851 5.259
Si 1.473 0.851 7.672
C 0.000 0.000 2.155
C 0.000 0.000 6.466
```

Summary:
The value obtained for the energy relative to the lowest polymorph listed for this composition is 319 meV per atom. For the total energy, the calculation gives -0.4427 Ry/atom. The value obtained for the energy relative to the elements, uncorrected is 667 meV/atom.

---

Entry 7:
Si3C2 | GGA-PBE | relaxed

extended XYZ file:
```
5
Lattice="1.483 0.856 6.581 -1.483 0.856 6.581 0.000 -1.712 6.581" Properties=species:S:1:pos:R:3 pbc="T T T"
Si 0.000 0.000 0.000
Si 0.000 0.000 4.271
Si 0.000 0.000 15.473
C 0.000 0.000 7.838
C 0.000 0.000 11.906
```

Summary:
The value obtained for the energy relative to the lowest polymorph listed for this composition is 341 meV per atom. For the total energy, the calculation gives -0.4684 Ry/atom. The value obtained for the energy relative to the elements, uncorrected is 571 meV/atom.

---

Entry 8:
SiC2 | GGA-PBE | relaxed

extended XYZ file:
```
6
Lattice="2.553 0.000 0.000 -1.277 2.211 0.000 0.000 0.000 8.936" Properties=species:S:1:pos:R:3 pbc="T T T"
Si 0.000 1.474 2.234
Si 1.277 0.737 6.702
C 0.000 1.474 0.212
C 0.000 1.474 4.256
C 1.277 0.737 4.680
C 1.277 0.737 8.724
```

Summary:
The value obtained for the energy relative to the lowest polymorph listed for this composition is 22 meV per atom. For the total energy, the calculation gives -0.5588 Ry/atom. The value obtained for the energy relative to the elements, uncorrected is 354 meV/atom.

---

Entry 9:
SiC | GGA-PBE | relaxed

extended XYZ file:
```
4
Lattice="3.092 0.000 0.000 -1.546 2.678 0.000 0.000 0.000 5.074" Properties=species:S:1:pos:R:3 pbc="T T T"
Si 0.000 1.785 0.000
Si 1.546 0.893 2.537
C 0.000 1.785 3.167
C 1.546 0.893 0.630
```

Summary:
The value obtained for the energy relative to the lowest polymorph listed for this composition is 3 meV per atom. For the total energy, the calculation gives -0.5532 Ry/atom. The value obtained for the energy relative to the elements, uncorrected is -203 meV/atom.

---

Entry 10:
Si4C23 | GGA-PBE | relaxed

extended XYZ file:
```
54
Lattice="7.347 0.000 0.000 0.000 7.347 0.000 0.000 0.000 7.347" Properties=species:S:1:pos:R:3 pbc="T T T"
Si 0.000 0.000 0.000
Si 0.000 1.837 3.674
Si 0.000 5.510 3.674
Si 1.837 3.674 0.000
Si 3.674 0.000 1.837
Si 3.674 0.000 5.510
Si 3.674 3.674 3.674
Si 5.510 3.674 0.000
C 0.000 1.937 1.729
C 0.000 1.937 5.618
C 0.000 3.674 1.837
C 0.000 3.674 5.510
C 0.000 5.410 1.729
C 0.000 5.410 5.618
C 1.358 1.358 1.358
C 1.358 1.358 5.990
C 1.358 5.990 1.358
C 1.358 5.990 5.990
C 1.729 0.000 1.937
C 1.729 0.000 5.410
C 1.736 3.674 1.945
C 1.736 3.674 5.403
C 1.837 0.000 3.674
C 1.937 1.729 0.000
C 1.937 5.618 0.000
C 1.945 1.736 3.674
C 1.945 5.611 3.674
C 2.316 2.316 2.316
C 2.316 2.316 5.031
C 2.316 5.031 2.316
C 2.316 5.031 5.031
C 3.674 1.837 0.000
C 3.674 1.945 1.736
C 3.674 1.945 5.611
C 3.674 5.403 1.736
C 3.674 5.403 5.611
C 3.674 5.510 0.000
C 5.031 2.316 2.316
C 5.031 2.316 5.031
C 5.031 5.031 2.316
C 5.031 5.031 5.031
C 5.403 1.736 3.674
C 5.403 5.611 3.674
C 5.410 1.729 0.000
C 5.410 5.618 0.000
C 5.510 0.000 3.674
C 5.611 3.674 1.945
C 5.611 3.674 5.403
C 5.618 0.000 1.937
C 5.618 0.000 5.410
C 5.990 1.358 1.358
C 5.990 1.358 5.990
C 5.990 5.990 1.358
C 5.990 5.990 5.990
```

Summary:
For the total energy, the calculation gives -0.5535 Ry/atom. The value obtained for the energy relative to the elements, uncorrected is 1131 meV/atom.

---

Entry 11:
SiC2 | GGA-PBE | relaxed

extended XYZ file:
```
6
Lattice="-1.389 4.255 3.934 1.389 -4.255 3.934 1.389 4.255 -3.934" Properties=species:S:1:pos:R:3 pbc="T T T"
Si 0.000 2.127 0.910
Si 1.389 2.127 3.024
C 1.389 2.127 -1.614
C 1.389 2.127 -0.201
C 0.000 2.127 4.135
C 0.000 2.127 5.548
```

Summary:
The value obtained for the energy relative to the lowest polymorph listed for this composition is 373 meV per atom. For the total energy, the calculation gives -0.5330 Ry/atom. The value obtained for the energy relative to the elements, uncorrected is 705 meV/atom.

---

Entry 12:
SiC | GGA-PBE | relaxed

extended XYZ file:
```
4
Lattice="1.549 0.894 5.338 -1.549 0.894 5.338 0.000 -1.789 5.338" Properties=species:S:1:pos:R:3 pbc="T T T"
Si 0.000 0.000 1.193
Si 0.000 0.000 14.822
C 0.000 0.000 7.201
C 0.000 0.000 8.814
```

Summary:
The value obtained for the energy relative to the lowest polymorph listed for this composition is 334 meV per atom. For the total energy, the calculation gives -0.5289 Ry/atom. The value obtained for the energy relative to the elements, uncorrected is 127 meV/atom.